# 1
VAs2PSe | GGA-PBE | relaxed

Cell lengths 4.632, 4.632, 4.823 Å; angles 90.00, 90.00, 90.00 degrees
Site moments in Bohr magnetons follow the coordinates.
Sites, in units of the cell vectors:
As1 0.000 0.500 0.000  0.01
Se1 0.000 0.000 0.500  -0.04
P1 0.000 0.000 0.000  0.01
As2 0.500 0.000 0.000  0.01
V1 0.500 0.500 0.500  0.11

Output
N(E_F) in states/eV/cell: 3.988
Formation energy (no corrections) in meV per atom: 919
SG: No. 123
Energy relative to the lowest polymorph listed for this composition in kcal/mol of atoms: 8.41

=====

# 2
VAsPSe2 | GGA-PBE | relaxed

Cell lengths 4.800, 4.800, 4.593 Å; angles 90.00, 90.00, 90.00 degrees
Site moments in Bohr magnetons follow the coordinates.
Sites, in units of the cell vectors:
As1 0.000 0.000 0.500  0.09
V1 0.500 0.500 0.500  -0.26
Se1 0.000 0.500 0.000  -0.01
Se2 0.500 0.000 0.000  -0.01
P1 0.000 0.000 0.000  0.01

Output
N(E_F) in states/eV/cell: 5.060
Formation energy (no corrections) in meV per atom: 858
SG: No. 123
Energy relative to the lowest polymorph listed for this composition in kcal/mol of atoms: 8.20

=====

# 3
VAsPSe2 | GGA-PBE | relaxed

Cell lengths 4.691, 4.691, 4.935 Å; angles 90.00, 90.00, 90.00 degrees
Site moments in Bohr magnetons follow the coordinates.
Sites, in units of the cell vectors:
Se1 0.500 0.000 0.000  -0.11
Se2 0.000 0.500 0.000  -0.11
As1 0.000 0.000 0.500  -0.14
V1 0.000 0.000 0.000  0.75
P1 0.500 0.500 0.500  0.43

Output
N(E_F) in states/eV/cell: 3.914
Formation energy (no corrections) in meV per atom: 502
SG: No. 123
Energy relative to the lowest polymorph listed for this composition in kcal/mol of atoms: 0.00

=====

# 4
Y6As2P3Se | GGA-PBE | relaxed

Cell lengths 4.059, 8.143, 9.084 Å; angles 103.06, 102.91, 90.00 degrees
Sites, in units of the cell vectors:
P1 0.500 0.500 0.000
Y1 0.329 0.920 0.659
P2 0.165 0.834 0.331
Y2 0.002 0.738 0.003
Y3 0.665 0.587 0.331
P3 0.835 0.166 0.669
Se1 0.500 0.000 0.000
As1 0.834 0.669 0.668
Y4 0.671 0.080 0.341
Y5 0.335 0.413 0.669
As2 0.166 0.331 0.332
Y6 0.998 0.262 0.997

Output
N(E_F) in states/eV/cell: 1.893
Formation energy (no corrections) in meV per atom: -1680
SG: No. 12

=====

# 5
Y6AsP2Se3 | GGA-PBE | relaxed

Cell lengths 4.055, 8.188, 9.145 Å; angles 103.72, 102.81, 90.00 degrees
Sites, in units of the cell vectors:
P1 0.167 0.334 0.334
Y1 0.334 0.900 0.669
Se1 0.835 0.167 0.669
P2 0.833 0.666 0.666
Y2 0.328 0.428 0.655
Se2 0.165 0.833 0.331
Se3 0.500 0.500 0.000
Y3 0.672 0.572 0.345
Y4 0.666 0.100 0.331
Y5 0.006 0.247 0.013
Y6 0.994 0.753 0.987
As1 0.500 0.000 0.000

Output
N(E_F) in states/eV/cell: 4.361
Formation energy (no corrections) in meV per atom: -1773
SG: No. 12

=====

# 6
Y8As3PSe4 | GGA-PBE | relaxed

Cell lengths 8.175, 8.222, 8.174 Å; angles 119.81, 120.00, 90.00 degrees
Sites, in units of the cell vectors:
Y1 0.242 0.734 0.483
Y2 0.746 0.738 0.492
Se1 0.000 0.000 0.500
As1 0.500 0.500 0.500
Y3 0.242 0.734 0.992
Y4 0.250 0.266 0.008
As2 0.500 0.500 0.000
Y5 0.758 0.266 0.008
Y6 0.750 0.734 0.992
Se2 0.500 0.000 0.000
Y7 0.254 0.262 0.508
P1 0.000 0.500 0.000
Se3 0.000 0.000 0.000
Y8 0.758 0.266 0.517
As3 0.000 0.500 0.500
Se4 0.500 0.000 0.500

Output
N(E_F) in states/eV/cell: 5.946
Formation energy (no corrections) in meV per atom: -1743
SG: No. 166

=====

# 7
Y4As2PSe | GGA-PBE | relaxed

Cell lengths 4.088, 7.069, 7.087 Å; angles 70.64, 90.00, 90.00 degrees
Sites, in units of the cell vectors:
As1 0.000 0.000 0.000
Y1 0.000 0.246 0.259
Y2 0.000 0.754 0.741
As2 0.500 0.000 0.500
Se1 0.500 0.500 0.000
Y3 0.500 0.748 0.258
P1 0.000 0.500 0.500
Y4 0.500 0.252 0.742

Output
N(E_F) in states/eV/cell: 1.393
Formation energy (no corrections) in meV per atom: -1685
SG: No. 10

=====

# 8
Y6As3P2Se | GGA-PBE | relaxed

Cell lengths 4.081, 8.175, 9.118 Å; angles 102.81, 102.93, 90.00 degrees
Sites, in units of the cell vectors:
P1 0.167 0.333 0.333
As1 0.835 0.166 0.671
Y1 0.997 0.741 0.995
Y2 0.670 0.091 0.340
Y3 0.669 0.579 0.338
Y4 0.003 0.259 0.005
P2 0.833 0.667 0.667
As2 0.165 0.834 0.329
Y5 0.330 0.909 0.660
As3 0.500 0.500 0.000
Y6 0.331 0.421 0.662
Se1 0.500 0.000 0.000

Output
N(E_F) in states/eV/cell: 1.950
Formation energy (no corrections) in meV per atom: -1660
SG: No. 12